No. 1
Rb2UTaS6, relaxed, DFT PBE; density = 4.8 Mg/m³; space-group type = No. 166; formation energy without anion corrections = -1214 meV per atom
1.0
7.259 0.000 0.000
3.630 6.287 0.000
3.630 2.096 11.865
S Rb Ta U
12 4 2 2
Direct
0.800 0.800 0.119
0.800 0.280 0.119
0.857 0.384 0.375
0.384 0.384 0.375
0.616 0.143 0.625
0.200 0.720 0.881
0.143 0.616 0.625
0.616 0.616 0.625
0.720 0.200 0.881
0.200 0.200 0.881
0.384 0.857 0.375
0.280 0.800 0.119
0.289 0.289 0.133
0.872 0.872 0.384
0.711 0.711 0.867
0.128 0.128 0.616
0.500 0.500 0.500
0.000 0.000 0.000
0.587 0.587 0.238
0.413 0.413 0.762

No. 2
Rb3U3TaS8, relaxed, DFT PBE; density = 5.6 Mg/m³; space-group type = No. 166; formation energy without anion corrections = -1283 meV per atom
1.0
7.798 0.000 0.000
-3.899 6.754 -0.030
0.000 -4.470 7.989
S Ta Rb U
8 1 3 3
Direct
0.217 0.968 0.684
0.217 0.433 0.684
0.751 0.968 0.684
0.783 0.567 0.316
0.733 0.466 0.699
0.249 0.032 0.316
0.783 0.032 0.316
0.267 0.534 0.301
0.000 0.000 0.500
0.000 0.000 0.000
0.500 0.500 0.000
0.000 0.500 0.000
0.000 0.500 0.500
0.500 0.500 0.500
0.500 0.000 0.500

No. 3
RbUTa2S8, relaxed, DFT PBE; density = 4.4 Mg/m³; space-group type = No. 148; formation energy without anion corrections = -970 meV per atom
1.0
6.567 0.000 0.000
3.284 5.688 0.000
3.284 1.896 9.609
S Ta U Rb
8 2 1 1
Direct
0.376 0.728 0.838
0.182 0.182 0.454
0.272 0.942 0.162
0.624 0.272 0.162
0.818 0.818 0.546
0.728 0.058 0.838
0.942 0.624 0.162
0.058 0.376 0.838
0.258 0.258 0.226
0.742 0.742 0.774
0.000 0.000 0.000
0.500 0.500 0.500

No. 4
RbTa2VS8, relaxed, DFT PBE; density = 3.9 Mg/m³; space-group type = No. 148; formation energy without anion corrections = -700 meV per atom
1.0
6.336 0.000 0.000
3.168 5.487 0.000
3.168 1.829 9.240
V S Ta Rb
1 8 2 1
Direct
0.000 0.000 0.000
0.650 0.262 0.148
0.940 0.650 0.148
0.060 0.350 0.852
0.350 0.738 0.852
0.738 0.060 0.852
0.184 0.184 0.448
0.262 0.940 0.148
0.816 0.816 0.552
0.264 0.264 0.209
0.736 0.736 0.791
0.500 0.500 0.500

No. 5
Rb3Y3TaS8, relaxed, DFT PBE; density = 3.8 Mg/m³; space-group type = No. 166; formation energy without anion corrections = -1645 meV per atom
1.0
7.879 0.000 0.000
-3.939 6.823 -0.031
0.000 -4.518 7.882
S Rb Y Ta
8 3 3 1
Direct
0.247 0.032 0.318
0.269 0.537 0.306
0.215 0.429 0.682
0.214 0.968 0.682
0.731 0.463 0.694
0.785 0.571 0.318
0.753 0.968 0.682
0.786 0.032 0.318
0.000 0.000 0.000
0.000 0.500 0.000
0.500 0.500 0.000
0.000 0.500 0.500
0.500 0.000 0.500
0.500 0.500 0.500
0.000 0.000 0.500

No. 6
RbYTaS2, relaxed, DFT PBE; density = 4.2 Mg/m³; space-group type = No. 123; formation energy without anion corrections = 350 meV per atom
1.0
-0.393 3.465 -4.065
-5.763 0.304 0.816
0.697 4.074 3.406
Rb Ta S Y
1 1 2 1
Direct
0.500 0.500 0.500
0.000 0.500 0.000
0.000 0.000 0.500
0.500 0.000 0.000
0.000 0.000 0.000

No. 7
RbTa2ZnS, relaxed, DFT PBE; density = 6.5 Mg/m³; space-group type = No. 123; formation energy without anion corrections = 1595 meV per atom
1.0
-0.125 -4.343 2.057
6.037 -0.196 -0.047
0.100 2.055 4.344
S Ta Zn Rb
1 2 1 1
Direct
0.500 0.500 0.500
0.000 0.000 0.500
0.500 0.000 0.000
0.000 0.000 0.000
0.000 0.500 0.000

No. 8
RbZrTa2S, relaxed, DFT PBE; density = 7.8 Mg/m³; space-group type = No. 123; formation energy without anion corrections = 2655 meV per atom
1.0
-4.572 -1.183 -0.900
1.623 -3.623 -3.483
0.163 -3.292 3.500
Rb Ta Zr S
1 2 1 1
Direct
0.000 0.000 0.000
0.000 0.000 0.500
0.500 0.000 0.000
0.500 0.500 0.500
0.000 0.500 0.000

No. 9
Rb5TbS4, relaxed, DFT PBE; density = 3.4 Mg/m³; space-group type = No. 12; formation energy without anion corrections = -1189 meV per atom
1.0
-1.727 -4.020 -1.166
0.642 -2.632 8.125
-7.858 6.445 -1.789
Rb S Tb
5 4 1
Direct
0.500 0.500 0.000
0.831 0.082 0.662
0.169 0.419 0.338
0.169 0.918 0.338
0.831 0.581 0.662
0.660 0.159 0.319
0.000 0.785 0.000
0.000 0.215 0.000
0.340 0.841 0.681
0.500 0.000 0.000

No. 10
RbTb2S3, relaxed, DFT PBE; density = 4.5 Mg/m³; space-group type = No. 63; formation energy without anion corrections = -1635 meV per atom
1.0
4.487 0.000 0.000
-2.243 7.685 0.000
0.000 0.000 10.770
Tb S Rb
4 6 2
Direct
0.472 0.943 0.750
0.000 0.000 0.000
0.000 0.000 0.500
0.528 0.057 0.250
0.385 0.771 0.542
0.058 0.116 0.750
0.615 0.229 0.042
0.385 0.771 0.958
0.615 0.229 0.458
0.942 0.884 0.250
0.735 0.470 0.750
0.265 0.530 0.250

No. 11
RbTbS2, relaxed, DFT PBE; density = 4.6 Mg/m³; space-group type = No. 166; formation energy without anion corrections = -1855 meV per atom
1.0
4.099 0.000 0.000
2.050 3.550 0.000
2.050 1.183 7.693
S Rb Tb
2 1 1
Direct
0.769 0.769 0.693
0.231 0.231 0.307
0.000 0.000 0.000
0.500 0.500 0.500

No. 12
RbTbS2, relaxed, DFT PBE; density = 4.6 Mg/m³; space-group type = No. 160; formation energy without anion corrections = -1834 meV per atom
1.0
-3.307 -0.486 -2.343
-1.880 -3.620 -0.150
-6.275 0.745 5.148
Rb Tb S
1 1 2
Direct
0.498 0.498 0.506
0.667 0.667 0.998
0.065 0.065 0.806
0.270 0.270 0.190

No. 13
Rb3Tb3TeS8, relaxed, DFT PBE; density = 4.2 Mg/m³; space-group type = No. 166; formation energy without anion corrections = -1489 meV per atom
1.0
8.088 0.000 0.000
-4.044 7.004 -0.029
0.000 -4.641 7.841
S Rb Tb Te
8 3 3 1
Direct
0.730 0.460 0.691
0.775 0.551 0.313
0.225 0.449 0.687
0.775 0.037 0.313
0.225 0.963 0.687
0.262 0.037 0.313
0.270 0.540 0.309
0.738 0.963 0.687
0.000 0.500 0.000
0.500 0.500 0.000
0.000 0.000 0.000
0.000 0.500 0.500
0.500 0.500 0.500
0.500 0.000 0.500
0.000 0.000 0.500

No. 14
RbTbTeS, relaxed, DFT PBE; density = 5.1 Mg/m³; space-group type = No. 160; formation energy without anion corrections = -1561 meV per atom
1.0
-2.629 -1.338 -3.093
4.232 -0.144 -0.582
0.515 -6.768 5.441
S Tb Te Rb
1 1 1 1
Direct
0.511 0.153 0.679
0.287 0.541 0.844
0.103 0.950 0.068
0.977 0.387 0.378

No. 15
Rb4TbTh3S8, relaxed, DFT PBE; density = 5.3 Mg/m³; space-group type = No. 166; formation energy without anion corrections = -1695 meV per atom
1.0
8.242 0.000 0.000
0.000 9.116 0.607
-4.121 -4.119 5.832
Rb S Th Tb
4 8 3 1
Direct
0.000 0.000 0.500
0.000 0.000 0.000
0.500 0.000 0.000
0.500 0.000 0.500
0.265 0.296 0.530
0.231 0.699 0.463
0.264 0.301 0.032
0.769 0.301 0.537
0.769 0.301 0.032
0.736 0.699 0.968
0.735 0.704 0.470
0.231 0.699 0.968
0.000 0.500 0.500
0.500 0.500 0.500
0.500 0.500 0.000
0.000 0.500 0.000

No. 16
Rb3TbTh3S8, relaxed, DFT PBE; density = 4.9 Mg/m³; space-group type = No. 166; formation energy without anion corrections = -1768 meV per atom
1.0
-3.991 5.814 -4.236
-4.092 -6.527 2.884
2.596 6.293 6.193
Rb S Th Tb
3 8 3 1
Direct
0.500 0.500 0.000
0.000 0.500 0.000
0.000 0.000 0.000
0.229 0.963 0.692
0.771 0.543 0.308
0.734 0.469 0.703
0.266 0.531 0.297
0.771 0.037 0.308
0.735 0.963 0.692
0.265 0.037 0.308
0.229 0.457 0.692
0.500 0.000 0.500
0.000 0.500 0.500
0.500 0.500 0.500
0.000 0.000 0.500

No. 17
Rb3Tb2ThS6, relaxed, DFT PBE; density = 4.9 Mg/m³; space-group type = No. 12; formation energy without anion corrections = -1785 meV per atom
1.0
-6.823 0.849 -1.853
4.786 -2.025 -4.868
-0.709 -7.011 3.956
Rb Tb S Th
3 2 6 1
Direct
0.167 0.833 0.500
0.833 0.167 0.500
0.500 0.500 0.500
0.333 0.667 0.000
0.667 0.333 0.000
0.270 0.270 0.804
0.935 0.600 0.804
0.065 0.400 0.196
0.400 0.065 0.196
0.730 0.730 0.196
0.600 0.935 0.804
0.000 0.000 0.000

No. 18
Rb4Tb3ThS8, relaxed, DFT PBE; density = 4.8 Mg/m³; space-group type = No. 166; formation energy without anion corrections = -1801 meV per atom
1.0
-5.459 -0.997 6.063
2.248 -8.753 0.585
6.077 5.475 0.801
Rb S Tb Th
4 8 3 1
Direct
0.500 0.000 0.500
0.500 0.000 0.000
0.000 0.000 0.000
0.000 0.000 0.500
0.269 0.307 0.538
0.767 0.304 0.535
0.767 0.304 0.037
0.269 0.304 0.037
0.731 0.696 0.963
0.233 0.696 0.465
0.233 0.696 0.963
0.731 0.693 0.462
0.000 0.500 0.500
0.500 0.500 0.500
0.500 0.500 0.000
0.000 0.500 0.000

No. 19
RbTbTiS4, relaxed, DFT PBE; density = 3.5 Mg/m³; space-group type = No. 11; formation energy without anion corrections = -1603 meV per atom
1.0
6.654 0.000 -0.097
0.000 6.807 0.000
-2.733 0.000 8.745
Tb S Ti Rb
2 8 2 2
Direct
0.789 0.750 0.454
0.211 0.250 0.546
0.556 0.250 0.817
0.549 0.250 0.424
0.444 0.750 0.183
0.000 0.998 0.697
0.000 0.498 0.303
0.000 0.002 0.303
0.000 0.502 0.697
0.451 0.750 0.576
0.762 0.250 0.664
0.238 0.750 0.336
0.732 0.750 0.940
0.268 0.250 0.060

No. 20
Rb2Tb2TiS6, relaxed, DFT PBE; density = 3.9 Mg/m³; space-group type = No. 12; formation energy without anion corrections = -1676 meV per atom
1.0
6.712 0.012 0.045
-3.307 5.841 0.045
-1.230 -2.115 7.811
S Tb Ti Rb
6 2 1 2
Direct
0.631 0.936 0.317
0.064 0.369 0.683
0.369 0.064 0.683
0.239 0.239 0.319
0.936 0.631 0.317
0.761 0.761 0.681
0.667 0.333 0.500
0.333 0.667 0.500
0.000 0.000 0.500
0.829 0.171 0.000
0.171 0.829 0.000

No. 21
Rb4Tb3TiS8, relaxed, DFT PBE; density = 4.4 Mg/m³; space-group type = No. 166; formation energy without anion corrections = -1675 meV per atom
1.0
8.018 0.000 0.000
0.000 8.933 0.634
-4.009 -4.002 5.674
Tb S Rb Ti
3 8 4 1
Direct
0.500 0.500 0.000
0.000 0.500 0.500
0.500 0.500 0.500
0.268 0.304 0.536
0.219 0.687 0.439
0.748 0.687 0.967
0.252 0.313 0.033
0.732 0.696 0.464
0.781 0.313 0.033
0.781 0.313 0.561
0.219 0.687 0.967
0.000 0.000 0.500
0.500 0.000 0.000
0.000 0.000 0.000
0.500 0.000 0.500
0.000 0.500 0.000